<w>
{"formula": "ScFeSb2Te", "functional": "PBEsol", "state": "optimized geometry", "spacegroup": "No. 123", "crystal_system": "tetragonal", "total_magnetization_mub_per_fu": 3.4, "lattice_angstrom": [[5.3705, 0.0000, 0.0000], [0.0000, 5.3705, 0.0000], [0.0000, 0.0000, 5.3147]], "species": ["Sc", "Sb", "Sb", "Te", "Fe"], "frac_coords": [[0.0000, 0.0000, 0.0000], [0.0000, 0.5000, 0.0000], [0.5000, 0.0000, 0.0000], [0.0000, 0.0000, 0.5000], [0.5000, 0.5000, 0.5000]]}



<x>
{"formula": "ScFeSb2Te", "functional": "PBEsol", "state": "optimized geometry", "spacegroup": "No. 123", "crystal_system": "tetragonal", "total_magnetization_mub_per_fu": 0.8, "lattice_angstrom": [[-0.2148, 3.5348, -3.0945], [-4.1772, -1.5612, -1.4935], [-2.5254, 3.1487, 3.7720]], "species": ["Sc", "Sb", "Sb", "Te", "Fe"], "frac_coords": [[0.5000, 0.5000, 0.5000], [0.0000, 0.5000, 0.0000], [0.5000, 0.0000, 0.0000], [0.0000, 0.0000, 0.5000], [0.0000, 0.0000, 0.0000]]}



Most stable structure - <x>; separation to the second - 0.595 eV/atom.



<w>
{"formula": "TlFeSb2", "functional": "PBEsol", "state": "optimized geometry", "spacegroup": "No. 225", "crystal_system": "cubic", "total_magnetization_mub_per_fu": 2.5, "lattice_angstrom": [[-3.9940, -1.1761, 2.8193], [-3.5925, -2.9907, -1.8529], [-0.5393, -4.6756, 1.7696]], "species": ["Fe", "Sb", "Sb", "Tl"], "frac_coords": [[0.0000, 0.0000, 0.0000], [0.2500, 0.2500, 0.2500], [0.7500, 0.7500, 0.7500], [0.5000, 0.5000, 0.5000]]}



<x>
{"formula": "TlFeSb2", "functional": "PBEsol", "state": "optimized geometry", "spacegroup": "No. 123", "crystal_system": "tetragonal", "total_magnetization_mub_per_fu": 2.9, "lattice_angstrom": [[-3.2072, -0.7134, -2.8322], [-0.5804, -3.9668, 1.6564], [-3.2440, 1.8174, 3.2157]], "species": ["Fe", "Sb", "Sb", "Tl"], "frac_coords": [[0.0000, 0.0000, 0.5000], [0.0000, 0.5000, 0.0000], [0.5000, 0.0000, 0.0000], [0.5000, 0.5000, 0.5000]]}



Most stable structure - <w>; separation to the second - 0.029 eV/atom.



<w>
{"formula": "TlFe2Sb", "functional": "PBEsol", "state": "optimized geometry", "spacegroup": "No. 99", "crystal_system": "tetragonal", "total_magnetization_mub_per_fu": 4.4, "lattice_angstrom": [[3.0709, 0.0000, 0.0000], [0.0000, 3.0709, 0.0000], [0.0000, 0.0000, 7.7928]], "species": ["Fe", "Fe", "Sb", "Tl"], "frac_coords": [[0.0000, 0.0000, 0.0596], [0.5000, 0.5000, 0.2066], [0.0000, 0.0000, 0.4161], [0.5000, 0.5000, 0.8178]]}



<x>
{"formula": "TlFe2Sb", "functional": "PBEsol", "state": "optimized geometry", "spacegroup": "No. 216", "crystal_system": "cubic", "total_magnetization_mub_per_fu": 4.7, "lattice_angstrom": [[4.6522, 0.0000, 0.0000], [2.3261, 4.0290, 0.0000], [2.3261, 1.3430, 3.7985]], "species": ["Fe", "Fe", "Sb", "Tl"], "frac_coords": [[0.0000, 0.0000, 0.0000], [0.7500, 0.7500, 0.7500], [0.5000, 0.5000, 0.5000], [0.2500, 0.2500, 0.2500]]}



Most stable structure - <w>; separation to the second - 0.552 eV/atom.



<w>
{"formula": "Fe2SbW", "functional": "PBEsol", "state": "optimized geometry", "spacegroup": "No. 166", "crystal_system": "trigonal", "total_magnetization_mub_per_fu": 1.2, "lattice_angstrom": [[-0.9400, -0.0617, 2.8333], [1.9443, -0.5131, 2.2072], [1.6439, 7.3431, 2.2786]], "species": ["Fe", "Fe", "Sb", "W"], "frac_coords": [[0.2568, 0.2568, 0.2296], [0.7432, 0.7432, 0.7704], [0.5000, 0.5000, 0.5000], [0.0000, 0.0000, 0.0000]]}



<x>
{"formula": "Fe2SbW", "functional": "PBEsol", "state": "optimized geometry", "spacegroup": "No. 123", "crystal_system": "tetragonal", "total_magnetization_mub_per_fu": 2.8, "lattice_angstrom": [[-1.2098, -2.8648, 0.0413], [3.4952, -1.4491, 1.8679], [-1.7013, 0.7730, 3.7833]], "species": ["Fe", "Fe", "Sb", "W"], "frac_coords": [[0.0000, 0.0000, 0.5000], [0.0000, 0.5000, 0.0000], [0.5000, 0.5000, 0.5000], [0.5000, 0.0000, 0.0000]]}



Most stable structure - <x>; separation to the second - 0.132 eV/atom.



<w>
{"formula": "FeSb2W", "functional": "PBEsol", "state": "optimized geometry", "spacegroup": "No. 99", "crystal_system": "tetragonal", "total_magnetization_mub_per_fu": 1.5, "lattice_angstrom": [[3.0304, 0.0264, 0.0000], [-0.0262, 3.0304, 0.0000], [0.0000, 0.0000, 8.3539]], "species": ["Fe", "Sb", "Sb", "W"], "frac_coords": [[0.5000, 0.5000, 0.7195], [0.0000, 0.0000, 0.9198], [0.5000, 0.5000, 0.3097], [0.0000, 0.0000, 0.5510]]}



<x>
{"formula": "FeSb2W", "functional": "PBEsol", "state": "optimized geometry", "spacegroup": "No. 225", "crystal_system": "cubic", "total_magnetization_mub_per_fu": 0.0, "lattice_angstrom": [[-1.3242, 2.9780, 3.1777], [-0.3789, -1.3203, 4.3397], [2.9781, 1.4934, 3.1016]], "species": ["Fe", "Sb", "Sb", "W"], "frac_coords": [[0.5000, 0.5000, 0.5000], [0.2500, 0.2500, 0.2500], [0.7500, 0.7500, 0.7500], [0.0000, 0.0000, 0.0000]]}



<y>
{"formula": "FeSb2W", "functional": "PBEsol", "state": "optimized geometry", "spacegroup": "No. 12", "crystal_system": "monoclinic", "total_magnetization_mub_per_fu": 1.5, "lattice_angstrom": [[-0.9928, -0.7335, -2.8840], [-2.6459, -1.9453, 3.1118], [-2.1393, 4.9492, -0.5223]], "species": ["Fe", "Sb", "Sb", "W"], "frac_coords": [[0.0000, 0.0000, 0.5000], [0.7430, 0.4860, 0.7429], [0.2570, 0.5140, 0.2571], [0.5000, 0.0000, 0.0000]]}



Most stable structure - <w>; separation to the second - 0.287 eV/atom.



<w>
{"formula": "ZrFeSb2", "functional": "PBEsol", "state": "optimized geometry", "spacegroup": "No. 166", "crystal_system": "trigonal", "total_magnetization_mub_per_fu": 2.4, "lattice_angstrom": [[3.2609, 0.0000, 0.0000], [1.6305, 2.8240, 0.0000], [1.6305, 0.9413, 8.5512]], "species": ["Fe", "Sb", "Sb", "Zr"], "frac_coords": [[0.0000, 0.0000, 0.0000], [0.2613, 0.2613, 0.2160], [0.7387, 0.7387, 0.7840], [0.5000, 0.5000, 0.5000]]}



<x>
{"formula": "ZrFeSb2", "functional": "PBEsol", "state": "optimized geometry", "spacegroup": "No. 65", "crystal_system": "orthorhombic", "total_magnetization_mub_per_fu": 1.1, "lattice_angstrom": [[-0.0875, 3.2913, -0.1643], [-0.4676, -0.5388, 3.2184], [7.0463, 0.2405, 1.0641]], "species": ["Fe", "Sb", "Sb", "Zr"], "frac_coords": [[0.5000, 0.5000, 0.0000], [0.0000, 0.0000, 0.2162], [0.0000, 0.0000, 0.7838], [0.5000, 0.5000, 0.5000]]}



Most stable structure - <x>; separation to the second - 0.088 eV/atom.



<w>
{"formula": "ScFeSe2", "functional": "PBEsol", "state": "optimized geometry", "spacegroup": "No. 166", "crystal_system": "trigonal", "total_magnetization_mub_per_fu": 3.0, "lattice_angstrom": [[-0.5783, -3.2945, -1.8065], [2.4166, -2.8917, 0.5001], [-2.5792, -3.9557, 4.0397]], "species": ["Fe", "Sc", "Se", "Se"], "frac_coords": [[0.5000, 0.5000, 0.5000], [0.0000, 0.0000, 0.0000], [0.2439, 0.2439, 0.2683], [0.7561, 0.7561, 0.7317]]}



<x>
{"formula": "ScFeSe2", "functional": "PBEsol", "state": "optimized geometry", "spacegroup": "No. 123", "crystal_system": "tetragonal", "total_magnetization_mub_per_fu": 2.7, "lattice_angstrom": [[-2.9756, 0.8874, -1.0573], [-0.7415, -4.1933, -1.4326], [-1.7391, -1.0605, 4.0045]], "species": ["Fe", "Sc", "Se", "Se"], "frac_coords": [[0.5000, 0.5000, 0.5000], [0.5000, 0.0000, 0.0000], [0.0000, 0.0000, 0.5000], [0.0000, 0.5000, 0.0000]]}



Most stable structure - <w>; separation to the second - 0.172 eV/atom.



<w>
{"formula": "SrSc3Fe", "functional": "PBEsol", "state": "optimized geometry", "spacegroup": "No. 221", "crystal_system": "cubic", "total_magnetization_mub_per_fu": 2.6, "lattice_angstrom": [[4.9374, 0.0000, 0.0000], [0.0000, 4.9374, 0.0000], [0.0000, 0.0000, 4.9374]], "species": ["Sc", "Sc", "Sc", "Sr", "Fe"], "frac_coords": [[0.0000, 0.5000, 0.0000], [0.0000, 0.0000, 0.5000], [0.5000, 0.0000, 0.0000], [0.0000, 0.0000, 0.0000], [0.5000, 0.5000, 0.5000]]}



<x>
{"formula": "SrSc3Fe", "functional": "PBEsol", "state": "optimized geometry", "spacegroup": "No. 221", "crystal_system": "cubic", "total_magnetization_mub_per_fu": 0.0, "lattice_angstrom": [[-3.2910, -0.2800, -3.7065], [3.7164, -0.3409, -3.2741], [-0.0699, -4.9449, 0.4356]], "species": ["Sc", "Sc", "Sc", "Sr", "Fe"], "frac_coords": [[0.0000, 0.5000, 0.0000], [0.0000, 0.0000, 0.5000], [0.5000, 0.0000, 0.0000], [0.5000, 0.5000, 0.5000], [0.0000, 0.0000, 0.0000]]}



Most stable structure - <x>; separation to the second - 1.672 eV/atom.



<w>
{"formula": "Sc2TaFe", "functional": "PBEsol", "state": "optimized geometry", "spacegroup": "No. 6", "crystal_system": "monoclinic", "total_magnetization_mub_per_fu": 0.0, "lattice_angstrom": [[3.0578, 0.0000, -0.0009], [0.0000, 4.1364, 0.0000], [-1.3632, 0.0000, 5.5721]], "species": ["Fe", "Sc", "Sc", "Ta"], "frac_coords": [[0.2580, 0.5000, 0.7224], [0.0548, 0.0000, 0.9685], [0.7613, 0.5000, 0.2758], [0.4259, 0.0000, 0.5333]]}



<x>
{"formula": "Sc2TaFe", "functional": "PBEsol", "state": "optimized geometry", "spacegroup": "No. 44", "crystal_system": "orthorhombic", "total_magnetization_mub_per_fu": 0.0, "lattice_angstrom": [[-1.8984, 1.3792, -2.0921], [-3.7601, -1.3061, 2.5508], [3.0789, 4.0011, 2.2060]], "species": ["Sc", "Sc", "Fe", "Ta"], "frac_coords": [[0.0376, 0.5376, 0.0751], [0.2472, 0.2472, 0.4943], [0.7617, 0.7617, 0.5233], [0.4536, 0.9536, 0.9072]]}



Most stable structure - <x>; separation to the second - 0.169 eV/atom.



<w>
{"formula": "ScFeTc", "functional": "PBEsol", "state": "optimized geometry", "spacegroup": "No. 156", "crystal_system": "trigonal", "total_magnetization_mub_per_fu": 0.1, "lattice_angstrom": [[-1.6128, -2.0519, 1.3419], [2.7495, -2.8879, -1.1112], [0.4417, 2.0039, 3.5950]], "species": ["Fe", "Sc", "Tc"], "frac_coords": [[0.0832, 0.0000, 0.0000], [0.6665, 0.3333, 0.6667], [0.2503, 0.6667, 0.3333]]}



<x>
{"formula": "ScFeTc", "functional": "PBEsol", "state": "optimized geometry", "spacegroup": "No. 216", "crystal_system": "cubic", "total_magnetization_mub_per_fu": 0.0, "lattice_angstrom": [[4.0709, 0.0000, 0.0000], [2.0354, 3.5255, 0.0000], [2.0354, 1.1752, 3.3238]], "species": ["Fe", "Sc", "Tc"], "frac_coords": [[0.2500, 0.2500, 0.2500], [0.0000, 0.0000, 0.0000], [0.5000, 0.5000, 0.5000]]}



Most stable structure - <w>; separation to the second - 0.136 eV/atom.



<w>
{"formula": "ScFeW2", "functional": "PBEsol", "state": "optimized geometry", "spacegroup": "No. 123", "crystal_system": "tetragonal", "total_magnetization_mub_per_fu": 0.0, "lattice_angstrom": [[2.7618, 0.0000, 0.0000], [0.0000, 2.7618, 0.0000], [0.0000, 0.0000, 8.0235]], "species": ["Fe", "Sc", "W", "W"], "frac_coords": [[0.5000, 0.5000, 0.0000], [0.5000, 0.5000, 0.5000], [0.0000, 0.0000, 0.7912], [0.0000, 0.0000, 0.2088]]}



<x>
{"formula": "ScFeW2", "functional": "PBEsol", "state": "optimized geometry", "spacegroup": "No. 35", "crystal_system": "orthorhombic", "total_magnetization_mub_per_fu": 1.3, "lattice_angstrom": [[2.7259, -0.0124, 0.0000], [-0.8181, 2.6003, 0.0000], [0.0000, 0.0000, 8.6451]], "species": ["Fe", "Sc", "W", "W"], "frac_coords": [[0.0000, 0.0000, 0.5106], [0.5000, 0.5000, 0.2692], [0.0000, 0.0000, 0.9883], [0.5000, 0.5000, 0.7319]]}



<y>
{"formula": "ScFeW2", "functional": "PBEsol", "state": "optimized geometry", "spacegroup": "No. 216", "crystal_system": "cubic", "total_magnetization_mub_per_fu": 0.6, "lattice_angstrom": [[4.3877, 0.0000, 0.0000], [2.1939, 3.7999, 0.0000], [2.1939, 1.2666, 3.5826]], "species": ["Fe", "Sc", "W", "W"], "frac_coords": [[0.5000, 0.5000, 0.5000], [0.2500, 0.2500, 0.2500], [0.0000, 0.0000, 0.0000], [0.7500, 0.7500, 0.7500]]}



Most stable structure - <y>; separation to the second - 0.039 eV/atom.



<w>
{"formula": "Y2ScFe", "functional": "PBEsol", "state": "optimized geometry", "spacegroup": "No. 225", "crystal_system": "cubic", "total_magnetization_mub_per_fu": 0.0, "lattice_angstrom": [[-0.0848, -4.8990, 0.6704], [1.7733, -1.9545, 4.1824], [-3.0936, -1.9902, 3.3054]], "species": ["Fe", "Sc", "Y", "Y"], "frac_coords": [[0.5000, 0.5000, 0.5000], [0.0000, 0.0000, 0.0000], [0.7500, 0.7500, 0.7500], [0.2500, 0.2500, 0.2500]]}



<x>
{"formula": "Y2ScFe", "functional": "PBEsol", "state": "optimized geometry", "spacegroup": "No. 216", "crystal_system": "cubic", "total_magnetization_mub_per_fu": 0.3, "lattice_angstrom": [[-3.2011, 3.2153, -2.0111], [-0.3213, 0.4239, -4.9343], [-4.0262, -1.6648, -2.3767]], "species": ["Fe", "Sc", "Y", "Y"], "frac_coords": [[0.5000, 0.5000, 0.5000], [0.2500, 0.2500, 0.2500], [0.0000, 0.0000, 0.0000], [0.7500, 0.7500, 0.7500]]}



Most stable structure - <w>; separation to the second - 0.066 eV/atom.